DFT (PBE) results for Pm6Pr2NdSm after structural relaxation.

```
Pm6Pr2NdSm
1.0
8.8790 -1.7080 -1.7725
1.2233 8.8923 -2.0497
1.2233 -2.3778 8.8102
Pm Pr Nd Sm
12 4 2 2
Direct
0.0805 0.0754 0.7754
0.4195 0.2246 0.9246
0.9195 0.9246 0.2246
0.5805 0.7754 0.0754
0.3185 0.0291 0.4706
0.1815 0.5294 0.9709
0.6815 0.9709 0.5294
0.8185 0.4706 0.0291
0.0875 0.7217 0.4254
0.4125 0.5746 0.2783
0.9125 0.2783 0.5746
0.5875 0.4254 0.7217
0.4346 0.8008 0.7006
0.0654 0.2994 0.1992
0.5654 0.1992 0.2994
0.9346 0.7006 0.8008
0.2500 0.4318 0.5682
0.7500 0.5682 0.4318
0.2500 0.9354 0.0646
0.7500 0.0646 0.9354
```

Calculated values
* calculated formation energy: 125 meV per atom

DFT (PBE) results for PmPr2Nd2Sm2 after structural relaxation.

```
PmPr2Nd2Sm2
1.0
5.1915 0.0000 0.0000
-2.5957 5.7983 0.2951
0.0000 -1.5685 8.0719
Pm Pr Nd Sm
1 2 2 2
Direct
0.0000 0.0000 0.0000
0.5713 0.1427 0.7163
0.4287 0.8573 0.2837
0.1434 0.2868 0.4282
0.8566 0.7132 0.5718
0.7144 0.4289 0.1418
0.2856 0.5711 0.8582
```

Calculated values
* calculated formation energy: 13 meV per atom

DFT (PBE) results for PmPrNd2Sm2 after structural relaxation.

```
PmPrNd2Sm2
1.0
3.4536 0.0000 0.0000
0.0000 6.7940 0.0000
0.0000 0.0000 18.0847
Pm Pr Nd Sm
2 2 4 4
Direct
0.5000 0.5000 0.0000
0.0000 0.0000 0.5000
0.0000 0.0000 0.0000
0.5000 0.5000 0.5000
0.5000 0.7740 0.3477
0.5000 0.2260 0.6523
0.0000 0.7260 0.8477
0.0000 0.2740 0.1523
0.5000 0.2687 0.3202
0.0000 0.7687 0.1798
0.5000 0.7313 0.6798
0.0000 0.2313 0.8202
```

Calculated values
* calculated formation energy: 245 meV per atom

DFT (PBE) results for PmPr3Nd2Sm6 after structural relaxation.

```
PmPr3Nd2Sm6
1.0
-5.0207 -2.2311 -3.1855
3.8687 -4.0122 3.0444
-6.2966 3.0985 9.8705
Pm Pr Nd Sm
1 3 2 6
Direct
0.0000 0.0000 0.0000
0.1666 0.8334 0.5000
0.8334 0.1666 0.5000
0.5000 0.5000 0.5000
0.3334 0.6666 0.0000
0.6666 0.3334 0.0000
0.9170 0.5839 0.7511
0.7499 0.7499 0.2489
0.0830 0.4161 0.2489
0.5839 0.9170 0.7511
0.2501 0.2501 0.7511
0.4161 0.0830 0.2489
```

Calculated values
* calculated formation energy: 12 meV per atom

DFT (PBE) results for PmPrNd2Sm4 after structural relaxation.

```
PmPrNd2Sm4
1.0
9.4685 0.0131 -1.7761
0.0064 9.4685 -1.7761
-5.9903 -5.9945 8.4900
Pm Pr Nd Sm
2 2 4 8
Direct
0.5000 0.5000 0.5000
0.0000 0.0000 0.0000
0.0000 0.5000 0.0000
0.0000 0.5000 0.5000
0.5000 0.0000 0.0000
0.5000 0.0000 0.5000
0.0000 0.0000 0.5000
0.5000 0.5000 0.0000
0.2498 0.7515 0.0029
0.7485 0.2502 0.4971
0.2515 0.7498 0.5029
0.7502 0.2486 0.9971
0.6925 0.6934 0.9421
0.8066 0.8075 0.5579
0.1934 0.1925 0.4421
0.3075 0.3066 0.0579
```

Calculated values
* calculated formation energy: 377 meV per atom

DFT (PBE) results for PmPr5NdSm2 after structural relaxation.

```
PmPr5NdSm2
1.0
-3.2879 -2.9825 -7.7091
3.8324 -7.9010 1.4223
-6.9484 2.8935 6.9766
Pm Pr Nd Sm
2 10 2 4
Direct
0.2500 0.2500 0.5000
0.7500 0.7500 0.5000
0.9344 0.4344 0.2771
0.6573 0.1573 0.7229
0.0656 0.5656 0.7229
0.1573 0.0656 0.7229
0.5656 0.6573 0.7229
0.8427 0.9344 0.2771
0.4344 0.3427 0.2771
0.3427 0.8427 0.2771
0.5000 0.5000 0.0000
0.0000 0.0000 0.0000
0.2500 0.7500 0.5000
0.7500 0.2500 0.5000
0.1188 0.3812 0.0000
0.6188 0.1188 0.0000
0.3812 0.8812 0.0000
0.8812 0.6188 0.0000
```

Calculated values
* calculated formation energy: 260 meV per atom